VASP calculation (GGA-PBE) on a relaxed Nd2TlHg3 crystal.

The structure in POSCAR format:
```
Nd2TlHg3
1.0
-2.5121 5.6416 0.6795
-2.2851 -2.6577 -5.1298
-4.1211 -4.9613 6.9268
Hg Tl Nd
6 2 4
Direct
0.1657 0.6692 0.8349 Hg
0.6692 0.1657 0.8349 Hg
0.8347 0.8347 0.6694 Hg
0.8343 0.3308 0.1651 Hg
0.3308 0.8343 0.1651 Hg
0.1653 0.1653 0.3306 Hg
0.3334 0.3334 0.6667 Tl
0.6666 0.6666 0.3333 Tl
0.7531 0.7531 0.0000 Nd
0.2500 0.7500 0.5000 Nd
0.2469 0.2469 0.0000 Nd
0.7500 0.2500 0.5000 Nd
```

## Properties
energy of formation: -0.385 eV/atom
space-group type: Fmmm
final energy: -30.23 eV for the cell shown
D(E_F): 9.019 states/eV/cell

=====

VASP calculation (GGA-PBE) on a relaxed Nd6Tl2Hg crystal.

The structure in POSCAR format:
```
Nd6Tl2Hg
1.0
-3.1732 -2.1983 0.0652
3.8656 -5.7588 -6.0271
1.1248 -1.3562 9.0217
Tl Nd Hg
2 6 1
Direct
0.0000 0.3334 0.6667 Tl
0.0000 0.6666 0.3333 Tl
0.5000 0.6073 0.0000 Nd
0.5000 0.3927 0.3927 Nd
0.0000 0.7251 0.7251 Nd
0.0000 0.2749 0.0000 Nd
0.0000 0.0000 0.2749 Nd
0.5000 0.0000 0.6073 Nd
0.5000 0.0001 0.0000 Hg
```

## Properties
energy of formation: -0.280 eV/atom
space-group type: P-62m
final energy: -36.16 eV for the cell shown
D(E_F): 12.261 states/eV/cell

=====

VASP calculation (GGA-PBE) on a relaxed Nd6Tl5Hg crystal.

The structure in POSCAR format:
```
Nd6Tl5Hg
1.0
-3.7515 4.8098 2.8523
-6.9025 -5.1720 5.0428
0.0473 -2.6550 7.2393
Nd Tl Hg
6 5 1
Direct
0.7559 0.0808 0.3296 Nd
0.2539 0.2424 0.0000 Nd
0.7461 0.7576 0.0000 Nd
0.2441 0.5896 0.3296 Nd
0.7559 0.4104 0.6704 Nd
0.2441 0.9192 0.6704 Nd
0.5000 0.5000 0.0000 Tl
0.0000 0.6601 0.6797 Tl
0.0000 0.3399 0.3203 Tl
0.5000 0.8249 0.3502 Tl
0.5000 0.1751 0.6498 Tl
0.0000 0.0000 0.0000 Hg
```

## Properties
energy of formation: -0.273 eV/atom
space-group type: C2/m
final energy: -44.02 eV for the cell shown
D(E_F): 12.051 states/eV/cell

=====

VASP calculation (GGA-PBE) on a relaxed Nd4TlHg3 crystal.

The structure in POSCAR format:
```
Nd4TlHg3
1.0
-1.4048 -1.3201 -3.3642
4.3239 -2.3245 -0.8934
-4.1790 -9.9439 5.6470
Hg Nd Tl
3 4 1
Direct
0.0000 0.5000 0.5815 Hg
0.0000 0.0000 0.4185 Hg
0.5000 0.0000 0.9157 Hg
0.0000 0.5000 0.8483 Nd
0.5000 0.0000 0.6463 Nd
0.5000 0.5000 0.3578 Nd
0.0000 0.0000 0.1496 Nd
0.5000 0.5000 0.0823 Tl
```

## Properties
energy of formation: -0.408 eV/atom
space-group type: Pmm2
final energy: -25.61 eV for the cell shown
D(E_F): 9.002 states/eV/cell

=====

Copy entry 2 word for word.
VASP calculation (GGA-PBE) on a relaxed Nd6Tl2Hg crystal.

The structure in POSCAR format:
```
Nd6Tl2Hg
1.0
-3.1732 -2.1983 0.0652
3.8656 -5.7588 -6.0271
1.1248 -1.3562 9.0217
Tl Nd Hg
2 6 1
Direct
0.0000 0.3334 0.6667 Tl
0.0000 0.6666 0.3333 Tl
0.5000 0.6073 0.0000 Nd
0.5000 0.3927 0.3927 Nd
0.0000 0.7251 0.7251 Nd
0.0000 0.2749 0.0000 Nd
0.0000 0.0000 0.2749 Nd
0.5000 0.0000 0.6073 Nd
0.5000 0.0001 0.0000 Hg
```

## Properties
energy of formation: -0.280 eV/atom
space-group type: P-62m
final energy: -36.16 eV for the cell shown
D(E_F): 12.261 states/eV/cell